Record 1
A plane-wave DFT calculation with PBE was carried out for Ba2Bi2Pt after structural relaxation.

Unit cell a=6.757 b=6.757 c=12.560 alpha=116.25 beta=116.25 gamma=43.60
Fractional coordinates of all 10 atoms:
Ba1 0.004 0.004 0.338
Ba2 0.188 0.188 0.122
Ba3 0.812 0.812 0.878
Ba4 0.996 0.996 0.662
Bi1 0.332 0.332 0.449
Bi2 0.492 0.492 0.129
Bi3 0.508 0.508 0.871
Bi4 0.668 0.668 0.551
Pt1 0.276 0.276 0.653
Pt2 0.724 0.724 0.347

Summary:
**Total DFT energy (no corrections)**: -4.296 eV per atom
**Offset from the most stable computed form**: 0 meV per atom

Record 2
A plane-wave DFT calculation with PBE was carried out for BaBi2Pt2 after structural relaxation.

Unit cell a=8.711 b=8.711 c=3.357 alpha=90.00 beta=90.00 gamma=90.00
Fractional coordinates of all 10 atoms:
Ba1 0.000 0.000 0.000
Ba2 0.500 0.500 0.000
Bi1 0.136 0.364 0.000
Bi2 0.364 0.864 0.000
Bi3 0.636 0.136 0.000
Bi4 0.864 0.636 0.000
Pt1 0.159 0.659 0.500
Pt2 0.341 0.159 0.500
Pt3 0.659 0.841 0.500
Pt4 0.841 0.341 0.500

Summary:
**Total DFT energy (no corrections)**: -4.591 eV per atom

Record 3
A plane-wave DFT calculation with PBE was carried out for BaBi12Pt4 after structural relaxation.

Unit cell a=8.727 b=8.727 c=8.727 alpha=109.47 beta=109.47 gamma=109.47
Fractional coordinates of all 17 atoms:
Ba1 0.000 0.000 0.000
Bi1 0.160 0.340 0.501
Bi2 0.160 0.660 0.820
Bi3 0.180 0.840 0.340
Bi4 0.340 0.180 0.840
Bi5 0.340 0.501 0.160
Bi6 0.499 0.840 0.660
Bi7 0.501 0.160 0.340
Bi8 0.660 0.499 0.840
Bi9 0.660 0.820 0.160
Bi10 0.820 0.160 0.660
Bi11 0.840 0.340 0.180
Bi12 0.840 0.660 0.499
Pt1 0.000 0.000 0.500
Pt2 0.000 0.500 0.000
Pt3 0.500 0.000 0.000
Pt4 0.500 0.500 0.500

Summary:
**Total DFT energy (no corrections)**: -4.562 eV per atom

Record 4
A plane-wave DFT calculation with PBE was carried out for Ba2Bi2Pt after structural relaxation.

Unit cell a=7.871 b=7.871 c=5.461 alpha=90.00 beta=90.00 gamma=90.00
Fractional coordinates of all 10 atoms:
Ba1 0.168 0.332 0.000
Ba2 0.332 0.832 0.000
Ba3 0.668 0.168 0.000
Ba4 0.832 0.668 0.000
Bi1 0.149 0.649 0.500
Bi2 0.351 0.149 0.500
Bi3 0.649 0.851 0.500
Bi4 0.851 0.351 0.500
Pt1 0.000 0.000 0.500
Pt2 0.500 0.500 0.500

Summary:
**Total DFT energy (no corrections)**: -4.122 eV per atom
**Offset from the most stable computed form**: 174 meV per atom

| no. | energy of formation from the pure elements (meV/atom) |
| --- | --- |
| 1 | -766 |
| 2 | -237 |
| 3 | -288 |
| 4 | -592 |